Density functional theory data (GGA-PBE) for a relaxed structure of Ni3HRu.

uncorrected energy: -29.155 eV for the cell shown

```
data_Ni3HRu
_cell_length_a 3.660
_cell_length_b 3.660
_cell_length_c 3.660
_cell_angle_alpha 90.00
_cell_angle_beta 90.00
_cell_angle_gamma 90.00
_space_group_name_H-M_alt 'P m -3 m'
_space_group_IT_number 221
_space_group_name_Hall '-P 4 2 3'
loop_
_atom_site_label
_atom_site_type_symbol
_atom_site_fract_x
_atom_site_fract_y
_atom_site_fract_z
_atom_site_occupancy
Ni1 Ni 0.000 0.000 0.500 1
H1 H 0.000 0.000 0.000 1
Ru1 Ru 0.500 0.500 0.500 1
```

---

Density functional theory data (GGA-PBE) for a relaxed structure of NiHRu.

uncorrected energy: -72.541 eV for the cell shown

```
data_NiHRu
_cell_length_a 8.883
_cell_length_b 2.726
_cell_length_c 4.564
_cell_angle_alpha 90.00
_cell_angle_beta 100.17
_cell_angle_gamma 90.00
_space_group_name_H-M_alt 'C 1 2/m 1'
_space_group_IT_number 12
loop_
_space_group_symop_operation_xyz
'x,y,z'
'-x,-y,-z'
'-x,y,-z'
'x,-y,z'
'x+1/2,y+1/2,z'
'-x+1/2,-y+1/2,-z'
'-x+1/2,y+1/2,-z'
'x+1/2,-y+1/2,z'
loop_
_atom_site_label
_atom_site_type_symbol
_atom_site_fract_x
_atom_site_fract_y
_atom_site_fract_z
_atom_site_occupancy
Ni1 Ni 0.121 0.000 0.386 1
H1 H 0.242 0.500 0.273 1
Ru1 Ru 0.121 0.500 0.886 1
```

---

Density functional theory data (GGA-PBE) for a relaxed structure of NiHRu.

uncorrected energy: -72.667 eV for the cell shown

```
data_NiHRu
_cell_length_a 8.844
_cell_length_b 2.716
_cell_length_c 4.594
_cell_angle_alpha 90.00
_cell_angle_beta 99.90
_cell_angle_gamma 90.00
_space_group_name_H-M_alt 'C 1 m 1'
_space_group_IT_number 8
loop_
_space_group_symop_operation_xyz
'x,y,z'
'x,-y,z'
'x+1/2,y+1/2,z'
'x+1/2,-y+1/2,z'
loop_
_atom_site_label
_atom_site_type_symbol
_atom_site_fract_x
_atom_site_fract_y
_atom_site_fract_z
_atom_site_occupancy
Ni1 Ni 0.000 0.000 0.000 1
Ni2 Ni 0.249 0.500 0.233 1
H1 H 0.130 0.000 0.337 1
H2 H 0.379 0.000 0.126 1
Ru1 Ru 0.001 0.500 0.522 1
Ru2 Ru 0.250 0.000 0.735 1
```

---

Density functional theory data (GGA-PBE) for a relaxed structure of NiHRu.

uncorrected energy: -36.319 eV for the cell shown

```
data_NiHRu
_cell_length_a 2.718
_cell_length_b 3.782
_cell_length_c 5.302
_cell_angle_alpha 90.00
_cell_angle_beta 90.00
_cell_angle_gamma 90.00
_space_group_name_H-M_alt 'P m m 2'
_space_group_IT_number 25
loop_
_space_group_symop_operation_xyz
'x,y,z'
'-x,-y,z'
'-x,y,z'
'x,-y,z'
loop_
_atom_site_label
_atom_site_type_symbol
_atom_site_fract_x
_atom_site_fract_y
_atom_site_fract_z
_atom_site_occupancy
Ni1 Ni 0.000 0.000 0.000 1
Ni2 Ni 0.500 0.500 0.230 1
H1 H 0.000 0.500 0.440 1
H2 H 0.500 0.000 0.225 1
Ru1 Ru 0.000 0.000 0.515 1
Ru2 Ru 0.500 0.500 0.749 1
```

---

Density functional theory data (GGA-PBE) for a relaxed structure of Ni2HRu2.

uncorrected energy: -63.740 eV for the cell shown

```
data_Ni2HRu2
_cell_length_a 5.172
_cell_length_b 5.172
_cell_length_c 4.235
_cell_angle_alpha 90.00
_cell_angle_beta 90.00
_cell_angle_gamma 90.00
_space_group_name_H-M_alt 'P 4/m b m'
_space_group_IT_number 127
_space_group_name_Hall '-P 4 2ab'
loop_
_atom_site_label
_atom_site_type_symbol
_atom_site_fract_x
_atom_site_fract_y
_atom_site_fract_z
_atom_site_occupancy
Ni1 Ni 0.160 0.340 0.000 1
H1 H 0.000 0.000 0.500 1
Ru1 Ru 0.171 0.671 0.500 1
```

---

Density functional theory data (GGA-PBE) for a relaxed structure of NiSbHRu2.

uncorrected energy: -31.776 eV for the cell shown

```
data_NiSbHRu2
_cell_length_a 4.036
_cell_length_b 4.036
_cell_length_c 3.732
_cell_angle_alpha 90.00
_cell_angle_beta 90.00
_cell_angle_gamma 90.00
_space_group_name_H-M_alt 'P 4/m m m'
_space_group_IT_number 123
_space_group_name_Hall '-P 4 2'
loop_
_atom_site_label
_atom_site_type_symbol
_atom_site_fract_x
_atom_site_fract_y
_atom_site_fract_z
_atom_site_occupancy
Ni1 Ni 0.000 0.000 0.000 1
Sb1 Sb 0.500 0.500 0.000 1
H1 H 0.000 0.000 0.500 1
Ru1 Ru 0.000 0.500 0.500 1
```

---

Density functional theory data (GGA-PBE) for a relaxed structure of Sm2NiH6Ru.

uncorrected energy: -197.341 eV for the cell shown

```
data_Sm2NiH6Ru
_cell_length_a 7.291
_cell_length_b 7.307
_cell_length_c 7.331
_cell_angle_alpha 90.00
_cell_angle_beta 90.00
_cell_angle_gamma 90.00
_space_group_name_H-M_alt 'F m m m'
_space_group_IT_number 69
_space_group_name_Hall '-F 2 2'
loop_
_atom_site_label
_atom_site_type_symbol
_atom_site_fract_x
_atom_site_fract_y
_atom_site_fract_z
_atom_site_occupancy
Sm1 Sm 0.250 0.250 0.250 1
Ni1 Ni 0.000 0.000 0.000 1
H1 H 0.000 0.000 0.250 1
H2 H 0.000 0.250 0.000 1
H3 H 0.250 0.000 0.000 1
Ru1 Ru 0.000 0.000 0.500 1
```

---

Density functional theory data (GGA-PBE) for a relaxed structure of SmNiH6Ru.

uncorrected energy: -42.331 eV for the cell shown

```
data_SmNiH6Ru
_cell_length_a 4.5680
_cell_length_b 4.5680
_cell_length_c 4.2869
_cell_angle_alpha 90.00
_cell_angle_beta 90.00
_cell_angle_gamma 120.00
_space_group_name_H-M_alt 'P -6 m 2'
_space_group_IT_number 187
_space_group_name_Hall 'P -6 2'
loop_
_atom_site_label
_atom_site_type_symbol
_atom_site_fract_x
_atom_site_fract_y
_atom_site_fract_z
_atom_site_occupancy
Sm1 Sm 0.0000 0.0000 0.0000 1
Ni1 Ni 0.3333 0.6667 0.5000 1
H1 H 0.0010 0.5005 0.2396 1
Ru1 Ru 0.6667 0.3333 0.5000 1
```

---

Density functional theory data (GGA-PBE) for a relaxed structure of NiSnHRu2.

uncorrected energy: -31.625 eV for the cell shown

```
data_NiSnHRu2
_cell_length_a 4.080
_cell_length_b 4.080
_cell_length_c 3.661
_cell_angle_alpha 90.00
_cell_angle_beta 90.00
_cell_angle_gamma 90.00
_space_group_name_H-M_alt 'P 4/m m m'
_space_group_IT_number 123
_space_group_name_Hall '-P 4 2'
loop_
_atom_site_label
_atom_site_type_symbol
_atom_site_fract_x
_atom_site_fract_y
_atom_site_fract_z
_atom_site_occupancy
Ni1 Ni 0.000 0.000 0.000 1
Sn1 Sn 0.500 0.500 0.000 1
H1 H 0.000 0.000 0.500 1
Ru1 Ru 0.000 0.500 0.500 1
```

---

Density functional theory data (GGA-PBE) for a relaxed structure of Ni2SnHRu.

uncorrected energy: -28.747 eV for the cell shown

```
data_Ni2SnHRu
_cell_length_a 3.846
_cell_length_b 3.846
_cell_length_c 3.894
_cell_angle_alpha 90.00
_cell_angle_beta 90.00
_cell_angle_gamma 90.00
_space_group_name_H-M_alt 'P 4/m m m'
_space_group_IT_number 123
_space_group_name_Hall '-P 4 2'
loop_
_atom_site_label
_atom_site_type_symbol
_atom_site_fract_x
_atom_site_fract_y
_atom_site_fract_z
_atom_site_occupancy
Ni1 Ni 0.000 0.500 0.000 1
Sn1 Sn 0.000 0.000 0.500 1
H1 H 0.500 0.500 0.000 1
Ru1 Ru 0.500 0.500 0.500 1
```

---

Density functional theory data (GGA-PBE) for a relaxed structure of TaNi2HRu.

uncorrected energy: -37.050 eV for the cell shown

```
data_TaNi2HRu
_cell_length_a 3.676
_cell_length_b 3.676
_cell_length_c 4.098
_cell_angle_alpha 90.00
_cell_angle_beta 90.00
_cell_angle_gamma 90.00
_space_group_name_H-M_alt 'P 4/m m m'
_space_group_IT_number 123
_space_group_name_Hall '-P 4 2'
loop_
_atom_site_label
_atom_site_type_symbol
_atom_site_fract_x
_atom_site_fract_y
_atom_site_fract_z
_atom_site_occupancy
Ta1 Ta 0.000 0.000 0.000 1
Ni1 Ni 0.000 0.500 0.500 1
H1 H 0.000 0.000 0.500 1
Ru1 Ru 0.500 0.500 0.000 1
```

---

Density functional theory data (GGA-PBE) for a relaxed structure of TaNi2HRu.

uncorrected energy: -37.396 eV for the cell shown

```
data_TaNi2HRu
_cell_length_a 3.722
_cell_length_b 3.722
_cell_length_c 3.968
_cell_angle_alpha 90.00
_cell_angle_beta 90.00
_cell_angle_gamma 90.00
_space_group_name_H-M_alt 'P 4/m m m'
_space_group_IT_number 123
_space_group_name_Hall '-P 4 2'
loop_
_atom_site_label
_atom_site_type_symbol
_atom_site_fract_x
_atom_site_fract_y
_atom_site_fract_z
_atom_site_occupancy
Ta1 Ta 0.000 0.000 0.000 1
Ni1 Ni 0.000 0.500 0.500 1
H1 H 0.500 0.500 0.500 1
Ru1 Ru 0.500 0.500 0.000 1
```

---

Density functional theory data (GGA-PBE) for a relaxed structure of TcNi2HRu.

uncorrected energy: -34.010 eV for the cell shown

```
data_TcNi2HRu
_cell_length_a 3.680
_cell_length_b 3.680
_cell_length_c 3.882
_cell_angle_alpha 90.00
_cell_angle_beta 90.00
_cell_angle_gamma 90.00
_space_group_name_H-M_alt 'P 4/m m m'
_space_group_IT_number 123
_space_group_name_Hall '-P 4 2'
loop_
_atom_site_label
_atom_site_type_symbol
_atom_site_fract_x
_atom_site_fract_y
_atom_site_fract_z
_atom_site_occupancy
Tc1 Tc 0.000 0.000 0.000 1
Ni1 Ni 0.000 0.500 0.500 1
H1 H 0.000 0.000 0.500 1
Ru1 Ru 0.500 0.500 0.000 1
```

---

Density functional theory data (GGA-PBE) for a relaxed structure of TcNi2HRu.

uncorrected energy: -33.919 eV for the cell shown

```
data_TcNi2HRu
_cell_length_a 3.698
_cell_length_b 3.698
_cell_length_c 3.845
_cell_angle_alpha 90.00
_cell_angle_beta 90.00
_cell_angle_gamma 90.00
_space_group_name_H-M_alt 'P 4/m m m'
_space_group_IT_number 123
_space_group_name_Hall '-P 4 2'
loop_
_atom_site_label
_atom_site_type_symbol
_atom_site_fract_x
_atom_site_fract_y
_atom_site_fract_z
_atom_site_occupancy
Tc1 Tc 0.000 0.000 0.000 1
Ni1 Ni 0.000 0.500 0.500 1
H1 H 0.500 0.500 0.500 1
Ru1 Ru 0.500 0.500 0.000 1
```

---

Density functional theory data (GGA-PBE) for a relaxed structure of ThNiH6Ru.

uncorrected energy: -45.371 eV for the cell shown

```
data_ThNiH6Ru
_cell_length_a 4.5901
_cell_length_b 4.5901
_cell_length_c 4.2655
_cell_angle_alpha 90.00
_cell_angle_beta 90.00
_cell_angle_gamma 120.00
_space_group_name_H-M_alt 'P -6 m 2'
_space_group_IT_number 187
_space_group_name_Hall 'P -6 2'
loop_
_atom_site_label
_atom_site_type_symbol
_atom_site_fract_x
_atom_site_fract_y
_atom_site_fract_z
_atom_site_occupancy
Th1 Th 0.0000 0.0000 0.0000 1
Ni1 Ni 0.3333 0.6667 0.5000 1
H1 H 0.0035 0.5018 0.2374 1
Ru1 Ru 0.6667 0.3333 0.5000 1
```

---

Density functional theory data (GGA-PBE) for a relaxed structure of ThNiH8Ru2.

uncorrected energy: -181.905 eV for the cell shown

```
data_ThNiH8Ru2
_cell_length_a 4.5698
_cell_length_b 4.5698
_cell_length_c 16.6287
_cell_angle_alpha 90.00
_cell_angle_beta 90.00
_cell_angle_gamma 120.00
_space_group_name_H-M_alt 'R -3'
_space_group_IT_number 148
_space_group_name_Hall '-R 3'
loop_
_atom_site_label
_atom_site_type_symbol
_atom_site_fract_x
_atom_site_fract_y
_atom_site_fract_z
_atom_site_occupancy
Th1 Th 0.0000 0.0000 0.0000 1
Ni1 Ni 0.0000 0.0000 0.5000 1
H1 H 0.0000 0.0000 0.3130 1
H2 H 0.0067 0.3811 0.7825 1
Ru1 Ru 0.0000 0.0000 0.2118 1
```

---

Density functional theory data (GGA-PBE) for a relaxed structure of TiNi2HRu.

uncorrected energy: -33.611 eV for the cell shown

```
data_TiNi2HRu
_cell_length_a 3.611
_cell_length_b 3.611
_cell_length_c 4.033
_cell_angle_alpha 90.00
_cell_angle_beta 90.00
_cell_angle_gamma 90.00
_space_group_name_H-M_alt 'P 4/m m m'
_space_group_IT_number 123
_space_group_name_Hall '-P 4 2'
loop_
_atom_site_label
_atom_site_type_symbol
_atom_site_fract_x
_atom_site_fract_y
_atom_site_fract_z
_atom_site_occupancy
Ti1 Ti 0.000 0.000 0.000 1
Ni1 Ni 0.000 0.500 0.500 1
H1 H 0.000 0.000 0.500 1
Ru1 Ru 0.500 0.500 0.000 1
```

---

Density functional theory data (GGA-PBE) for a relaxed structure of TiNi2HRu.

uncorrected energy: -33.814 eV for the cell shown

```
data_TiNi2HRu
_cell_length_a 3.673
_cell_length_b 3.673
_cell_length_c 3.910
_cell_angle_alpha 90.00
_cell_angle_beta 90.00
_cell_angle_gamma 90.00
_space_group_name_H-M_alt 'P 4/m m m'
_space_group_IT_number 123
_space_group_name_Hall '-P 4 2'
loop_
_atom_site_label
_atom_site_type_symbol
_atom_site_fract_x
_atom_site_fract_y
_atom_site_fract_z
_atom_site_occupancy
Ti1 Ti 0.000 0.000 0.000 1
Ni1 Ni 0.000 0.500 0.500 1
H1 H 0.500 0.500 0.500 1
Ru1 Ru 0.500 0.500 0.000 1
```

---

Density functional theory data (GGA-PBE) for a relaxed structure of TiNiHRu2.

uncorrected energy: -36.793 eV for the cell shown

```
data_TiNiHRu2
_cell_length_a 3.833
_cell_length_b 3.833
_cell_length_c 3.858
_cell_angle_alpha 90.00
_cell_angle_beta 90.00
_cell_angle_gamma 90.00
_space_group_name_H-M_alt 'P 4/m m m'
_space_group_IT_number 123
_space_group_name_Hall '-P 4 2'
loop_
_atom_site_label
_atom_site_type_symbol
_atom_site_fract_x
_atom_site_fract_y
_atom_site_fract_z
_atom_site_occupancy
Ti1 Ti 0.000 0.000 0.000 1
Ni1 Ni 0.500 0.500 0.000 1
H1 H 0.000 0.000 0.500 1
Ru1 Ru 0.000 0.500 0.500 1
```

---

Density functional theory data (GGA-PBE) for a relaxed structure of TiNiHRu2.

uncorrected energy: -37.008 eV for the cell shown

```
data_TiNiHRu2
_cell_length_a 3.928
_cell_length_b 3.928
_cell_length_c 3.640
_cell_angle_alpha 90.00
_cell_angle_beta 90.00
_cell_angle_gamma 90.00
_space_group_name_H-M_alt 'P 4/m m m'
_space_group_IT_number 123
_space_group_name_Hall '-P 4 2'
loop_
_atom_site_label
_atom_site_type_symbol
_atom_site_fract_x
_atom_site_fract_y
_atom_site_fract_z
_atom_site_occupancy
Ti1 Ti 0.000 0.000 0.000 1
Ni1 Ni 0.500 0.500 0.000 1
H1 H 0.500 0.500 0.500 1
Ru1 Ru 0.000 0.500 0.500 1
```